Entry from the Alexandria database: a geometry-optimized Ac2PrSn structure (PBE).

abc: 3.7562 3.7562 12.8512
angles: 81.60 81.60 60.00
Last column: nearest neighbours and their distance in Å.
Sites, in units of the cell vectors:
Pr  0.0000  0.0000  0.0000  2 Ac 3.61, 6 Pr 3.76
Ac  0.0949  0.0949  0.7154  3 Sn 3.48, 1 Pr 3.61, 6 Ac 3.76
Ac  0.9051  0.9051  0.2846  3 Sn 3.48, 1 Pr 3.61, 6 Ac 3.76
Sn  0.5000  0.5000  0.5000  6 Ac 3.48, 6 Sn 3.76

Summary:
M_tot, μB/f.u.: 0.1
ΔE_f, kJ per mole of atoms: 4.6
Total energy, eV per atom: -4.202